Record 1
Material: ZrInMoOs2
Method: DFT, PBE
State: relaxed

a = 4.737 Å, b = 4.737 Å, c = 4.995 Å
α = 90.00°, β = 90.00°, γ = 90.00°
Space group P4/mmm (No. 123)
Inequivalent atoms, fractional coordinates:
1 Zr 0.000 0.000 0.000 x1
2 In 0.000 0.000 0.500 x1
3 Mo 0.500 0.500 0.000 x1
4 Os 0.000 0.500 0.500 x2

Properties
- total magnetization (μB per formula unit) = 0.00
- E_form (eV per atom) = 2.43


Record 2
Material: Ti3CdN
Method: DFT, PBE
State: relaxed

a = 4.970 Å, b = 4.970 Å, c = 4.970 Å
α = 90.00°, β = 90.00°, γ = 90.00°
Space group Pm-3m (No. 221)
Inequivalent atoms, fractional coordinates:
1 Ti 0.000 0.000 0.500 x3
2 Cd 0.000 0.000 0.000 x1
3 N 0.500 0.500 0.500 x1

Properties
- total magnetization (μB per formula unit) = 3.19
- total energy (eV/atom) = -4.442


Record 3
Material: Pm2Tm8Sc3
Method: DFT, PBE
State: relaxed

a = 14.524 Å, b = 8.619 Å, c = 6.512 Å
α = 90.00°, β = 97.85°, γ = 90.00°
Space group C2/m (No. 12)
Inequivalent atoms, fractional coordinates:
1 Pm 0.205 0.000 0.273 x4
2 Tm 0.087 0.500 0.885 x4
3 Tm 0.108 0.318 0.423 x8
4 Tm 0.193 0.000 0.778 x4
5 Sc 0.000 0.000 0.500 x2
6 Sc 0.000 0.165 0.000 x4

Properties
- total magnetization (μB per formula unit) = 0.00
- excess energy over the best structure of this formula in the dataset (meV per atom) = 215.8
- E_form (eV per atom) = 0.26


Record 4
Material: Co2GeSe
Method: DFT, PBE
State: relaxed

a = 6.020 Å, b = 6.020 Å, c = 6.020 Å
α = 90.00°, β = 90.00°, γ = 90.00°
Space group Fm-3m (No. 225)
Inequivalent atoms, fractional coordinates:
1 Co 0.250 0.250 0.250 x8
2 Ge 0.000 0.000 0.000 x4
3 Se 0.000 0.000 0.500 x4

Properties
- total magnetization (μB per formula unit) = 2.13
- total energy (eV/atom) = -5.393


Record 5
Material: CeGe2PdPt
Method: DFT, PBE
State: relaxed

a = 10.772 Å, b = 4.433 Å, c = 8.725 Å
α = 90.00°, β = 113.69°, γ = 90.00°
Space group C2/m (No. 12)
Inequivalent atoms, fractional coordinates:
1 Ce 0.196 0.000 0.182 x4
2 Ge 0.064 0.500 0.911 x4
3 Ge 0.158 0.000 0.542 x4
4 Pd 0.083 0.500 0.405 x4
5 Pt 0.079 0.000 0.783 x4

Properties
- total magnetization (μB per formula unit) = 0.36
- E_form (eV per atom) = -0.80


Record 6
Material: Zn2Cu2Pb
Method: DFT, PBE
State: relaxed

a = 7.557 Å, b = 7.557 Å, c = 2.965 Å
α = 90.00°, β = 90.00°, γ = 90.00°
Space group P4/mbm (No. 127)
Inequivalent atoms, fractional coordinates:
1 Zn 0.122 0.378 0.000 x4
2 Cu 0.171 0.671 0.500 x4
3 Pb 0.000 0.000 0.000 x2

Properties
- total magnetization (μB per formula unit) = 0.00
- excess energy over the best structure of this formula in the dataset (meV per atom) = 37.5
- E_form (eV per atom) = 0.15


Record 7
Material: V2TcGe2
Method: DFT, PBE
State: relaxed

a = 6.569 Å, b = 6.569 Å, c = 3.328 Å
α = 90.00°, β = 90.00°, γ = 90.00°
Space group P4/mbm (No. 127)
Inequivalent atoms, fractional coordinates:
1 V 0.162 0.338 0.000 x4
2 Tc 0.000 0.000 0.500 x2
3 Ge 0.138 0.638 0.500 x4

Properties
- total magnetization (μB per formula unit) = 0.55
- E_form (eV per atom) = -0.16


Record 8
Material: TaGaMo2Rh
Method: DFT, PBE
State: relaxed

a = 4.571 Å, b = 4.571 Å, c = 4.398 Å
α = 90.00°, β = 90.00°, γ = 90.00°
Space group P4/mmm (No. 123)
Inequivalent atoms, fractional coordinates:
1 Ta 0.000 0.000 0.000 x1
2 Ga 0.500 0.500 0.500 x1
3 Mo 0.000 0.500 0.500 x2
4 Rh 0.500 0.500 0.000 x1

Properties
- total magnetization (μB per formula unit) = 0.00
- E_form (eV per atom) = 1.10


Record 9
Material: AlBiS3
Method: DFT, PBE
State: relaxed

a = 8.264 Å, b = 6.197 Å, c = 10.548 Å
α = 90.00°, β = 111.59°, γ = 90.00°
Space group P2_1/c (No. 14)
Inequivalent atoms, fractional coordinates:
1 Al 0.084 0.236 0.054 x4
2 Bi 0.287 0.732 0.768 x4
3 S 0.037 0.055 0.852 x4
4 S 0.192 0.585 0.016 x4
5 S 0.358 0.157 0.212 x4

Properties
- total magnetization (μB per formula unit) = 0.00
- excess energy over the best structure of this formula in the dataset (meV per atom) = 25.9


Record 10
Material: Ce7Os2Rh2
Method: DFT, PBE
State: relaxed

a = 10.507 Å, b = 7.337 Å, c = 7.018 Å
α = 90.00°, β = 98.19°, γ = 90.00°
Space group C2/m (No. 12)
Inequivalent atoms, fractional coordinates:
1 Ce 0.000 0.000 0.000 x2
2 Ce 0.032 0.500 0.261 x4
3 Ce 0.244 0.241 0.698 x8
4 Os 0.000 0.174 0.500 x4
5 Rh 0.214 0.500 0.962 x4

Properties
- total magnetization (μB per formula unit) = 1.98
- E_form (eV per atom) = -0.19


Record 11
Material: SrLa2Er
Method: DFT, PBE
State: relaxed

a = 3.7662 Å, b = 3.7662 Å, c = 37.6536 Å
α = 90.00°, β = 90.00°, γ = 120.00°
Space group R3m (No. 160, hexagonal axes)
Inequivalent atoms, fractional coordinates:
1 Sr 0.0000 0.0000 0.0000 x3
2 La 0.0000 0.0000 0.2417 x3
3 La 0.0000 0.0000 0.4239 x3
4 Er 0.0000 0.0000 0.8329 x3

Properties
- total magnetization (μB per formula unit) = 0.00
- excess energy over the best structure of this formula in the dataset (meV per atom) = 0.0
- E_form (eV per atom) = 0.09


Record 12
Material: PmTaVOs2
Method: DFT, PBE
State: relaxed

a = 4.294 Å, b = 4.294 Å, c = 10.719 Å
α = 90.00°, β = 90.00°, γ = 90.00°
Space group I-4m2 (No. 119)
Inequivalent atoms, fractional coordinates:
1 Pm 0.000 0.000 0.000 x2
2 Ta 0.000 0.500 0.750 x2
3 V 0.000 0.500 0.250 x2
4 Os 0.000 0.000 0.380 x4

Properties
- total magnetization (μB per formula unit) = 0.00
- E_form (eV per atom) = -0.23


Record 13
Material: SmYCoPd
Method: DFT, PBE
State: relaxed

a = 6.948 Å, b = 6.948 Å, c = 6.948 Å
α = 90.00°, β = 90.00°, γ = 90.00°
Space group F-43m (No. 216)
Inequivalent atoms, fractional coordinates:
1 Sm 0.000 0.000 0.000 x4
2 Y 0.000 0.000 0.500 x4
3 Co 0.250 0.250 0.750 x4
4 Pd 0.250 0.250 0.250 x4

Properties
- total magnetization (μB per formula unit) = 0.25
- E_form (eV per atom) = -0.42


The evaluated DOS(E_F) for the records listed, in turn: 6.726, 2.789, 37.155, 13.781, 18.478, 3.121, 11.802, 7.173, 0.000, 52.807, 16.038, 7.746, 12.142 states/eV per cell.